1.
First-principles (GGA-PBE) data for a geometry-optimized YCd2F structure, as listed in Alexandria via LeMat-Bulk.

Cell and atoms, written as POSCAR:
```
YCd2F
1.0
-4.814 4.814 2.210
4.814 -4.814 2.210
4.814 4.814 -2.210
Y Cd F
2 4 2
Cartesian
0.000 0.000 0.000
0.000 4.814 1.105
2.407 3.255 -0.552
6.372 2.407 0.552
2.407 1.559 1.657
-1.559 2.407 2.762
4.814 0.000 1.105
0.000 0.000 2.210
```

The total moment comes out at 0.00 μB per atom. The value obtained for the formation energy (no corrections) is -394 kJ/mol of formula units. The total energy is -28.5 eV for the cell shown. The calculation puts the density of states at the Fermi level at 1.3 states/eV/f.u. The energy above the most stable polymorph in this dataset comes out at 0.000 eV per atom. Its space group is I-42d.

=====

2.
First-principles (GGA-PBE) data for a geometry-optimized Zn3CdF structure, as listed in Alexandria via LeMat-Bulk.

Cell and atoms, written as POSCAR:
```
Zn3CdF
1.0
4.506 0.000 0.000
0.000 4.506 0.000
0.000 0.000 4.506
Zn Cd F
3 1 1
Cartesian
0.000 0.000 2.253
0.000 2.253 0.000
2.253 0.000 0.000
2.253 2.253 2.253
0.000 0.000 0.000
```

The total moment comes out at 0.00 μB per atom. The value obtained for the formation energy (no corrections) is -79 kJ/mol of formula units. The total energy is -7.4 eV for the cell shown. The calculation puts the density of states at the Fermi level at 2.0 states/eV/f.u. The energy above the most stable polymorph in this dataset comes out at 0.000 eV per atom. Its space group is Pm-3m.

=====

Q: Number 1 is which compound?
A: YCd2F

=====

Copy entry 1 word for word.
First-principles (GGA-PBE) data for a geometry-optimized YCd2F structure, as listed in Alexandria via LeMat-Bulk.

Cell and atoms, written as POSCAR:
```
YCd2F
1.0
-4.814 4.814 2.210
4.814 -4.814 2.210
4.814 4.814 -2.210
Y Cd F
2 4 2
Cartesian
0.000 0.000 0.000
0.000 4.814 1.105
2.407 3.255 -0.552
6.372 2.407 0.552
2.407 1.559 1.657
-1.559 2.407 2.762
4.814 0.000 1.105
0.000 0.000 2.210
```

The total moment comes out at 0.00 μB per atom. The value obtained for the formation energy (no corrections) is -394 kJ/mol of formula units. The total energy is -28.5 eV for the cell shown. The calculation puts the density of states at the Fermi level at 1.3 states/eV/f.u. The energy above the most stable polymorph in this dataset comes out at 0.000 eV per atom. Its space group is I-42d.

=====

Q: total moment of number 2 (Zn3CdF)?
A: 0.00 μB per atom